No. 1
The following is a PBE with a Hubbard U calculation of crystalline Na2Fe2O3 at its relaxed geometry, from Alexandria.

a = 5.935 Å, b = 5.935 Å, c = 5.796 Å
α = 115.02°, β = 115.02°, γ = 32.28°
Atoms (fractional coordinates):
Na: 0.100 0.100 0.328
Na: 0.900 0.900 0.672
Fe: 0.327 0.327 0.208
Fe: 0.673 0.673 0.792
O: 0.290 0.290 0.814
O: 0.500 0.500 0.500
O: 0.710 0.710 0.186

* total DFT energy (no corrections): -5.41 eV per atom
* SG: C2/m
* total magnetization: 8.00 μB/cell



No. 2
The following is a PBE with a Hubbard U calculation of crystalline NaFeO3 at its relaxed geometry, from Alexandria.

a = 6.022 Å, b = 6.022 Å, c = 6.022 Å
α = 50.23°, β = 50.23°, γ = 50.23°
Atoms (fractional coordinates):
Na: 0.137 0.137 0.137
Na: 0.863 0.863 0.863
Fe: 0.337 0.337 0.337
Fe: 0.663 0.663 0.663
O: 0.061 0.677 0.465
O: 0.323 0.535 0.939
O: 0.465 0.061 0.677
O: 0.535 0.939 0.323
O: 0.677 0.465 0.061
O: 0.939 0.323 0.535

* total DFT energy (no corrections): -5.43 eV per atom
* SG: R-3
* total magnetization: 6.00 μB/cell



No. 3
The following is a PBE with a Hubbard U calculation of crystalline NaFe2O at its relaxed geometry, from Alexandria.

a = 6.326 Å, b = 6.326 Å, c = 6.326 Å
α = 122.65°, β = 122.65°, γ = 85.47°
Atoms (fractional coordinates):
Na: 0.375 0.625 0.750
Na: 0.625 0.375 0.250
Fe: 0.000 0.000 0.000
Fe: 0.000 0.000 0.500
Fe: 0.000 0.500 0.000
Fe: 0.500 0.000 0.500
O: 0.125 0.875 0.250
O: 0.875 0.125 0.750

* total DFT energy (no corrections): -4.57 eV per atom
* SG: I4_1/amd
* total magnetization: 13.57 μB/cell



No. 4
The following is a PBE with a Hubbard U calculation of crystalline Na2FeO3 at its relaxed geometry, from Alexandria.

a = 4.652 Å, b = 10.078 Å, c = 6.669 Å
α = 90.00°, β = 91.26°, γ = 90.00°
Atoms (fractional coordinates):
Na: 0.243 0.101 0.388
Na: 0.243 0.399 0.888
Na: 0.243 0.731 0.860
Na: 0.243 0.769 0.360
Na: 0.757 0.231 0.640
Na: 0.757 0.269 0.140
Na: 0.757 0.601 0.112
Na: 0.757 0.899 0.612
Fe: 0.301 0.042 0.847
Fe: 0.301 0.458 0.347
Fe: 0.699 0.542 0.653
Fe: 0.699 0.958 0.153
O: 0.250 0.577 0.151
O: 0.250 0.923 0.651
O: 0.255 0.193 0.715
O: 0.255 0.307 0.215
O: 0.280 0.559 0.582
O: 0.280 0.941 0.082
O: 0.720 0.059 0.918
O: 0.720 0.441 0.418
O: 0.745 0.693 0.785
O: 0.745 0.807 0.285
O: 0.750 0.077 0.349
O: 0.750 0.423 0.849

* total DFT energy (no corrections): -5.18 eV per atom
* SG: P2_1/c
* total magnetization: 15.99 μB/cell
* polymorph energy (0 for the lowest one): 58 meV per atom



No. 5
The following is a PBE with a Hubbard U calculation of crystalline NaFe5O8 at its relaxed geometry, from Alexandria.

a = 6.058 Å, b = 6.058 Å, c = 6.058 Å
α = 59.37°, β = 59.37°, γ = 59.37°
Atoms (fractional coordinates):
Na: 0.000 0.000 0.000
Fe: 0.000 0.000 0.500
Fe: 0.000 0.500 0.000
Fe: 0.386 0.386 0.386
Fe: 0.500 0.000 0.000
Fe: 0.614 0.614 0.614
O: 0.222 0.741 0.741
O: 0.257 0.257 0.257
O: 0.259 0.259 0.778
O: 0.259 0.778 0.259
O: 0.741 0.222 0.741
O: 0.741 0.741 0.222
O: 0.743 0.743 0.743
O: 0.778 0.259 0.259

* total DFT energy (no corrections): -6.21 eV per atom
* SG: R-3m
* total magnetization: 19.00 μB/cell
* polymorph energy (0 for the lowest one): 14 meV per atom



No. 6
The following is a PBE with a Hubbard U calculation of crystalline Na2FeO3 at its relaxed geometry, from Alexandria.

a = 5.837 Å, b = 5.837 Å, c = 5.286 Å
α = 97.63°, β = 97.63°, γ = 122.22°
Atoms (fractional coordinates):
Na: 0.093 0.907 0.500
Na: 0.251 0.757 0.990
Na: 0.757 0.251 0.490
Na: 0.907 0.093 0.000
Fe: 0.412 0.536 0.474
Fe: 0.536 0.412 0.974
O: 0.122 0.542 0.321
O: 0.212 0.356 0.721
O: 0.356 0.212 0.221
O: 0.542 0.122 0.821
O: 0.643 0.739 0.245
O: 0.739 0.643 0.745

* total DFT energy (no corrections): -5.24 eV per atom
* SG: Cc
* total magnetization: 8.00 μB/cell
* polymorph energy (0 for the lowest one): 0 meV per atom